DFT (GGA-PBE) results for a geometry-optimized ZrPt3Pb2O12 structure.

Unit cell a=7.5679 b=7.5679 c=7.5679 alpha=57.73 beta=57.73 gamma=57.73
Closest atoms and distances in Å follow each position.
Fractional coordinates of all 18 atoms:
Zr (0.0000, 0.0000, 0.0000)  6 O 2.10
Pt (0.5000, 0.0000, 0.0000)  6 O 1.97-2.01
Pt (0.0000, 0.5000, 0.0000)  6 O 1.97-2.01
Pt (0.0000, 0.0000, 0.5000)  6 O 1.97-2.01
Pb (0.7042, 0.7042, 0.7042)  6 O 2.44-2.55
Pb (0.2958, 0.2958, 0.2958)  6 O 2.44-2.55
O (0.3270, 0.3270, 0.9429)  2 Pt 2.01
O (0.9287, 0.9287, 0.3348)  1 Pt 1.97, 1 Zr 2.10
O (0.3348, 0.9287, 0.9287)  1 Pt 1.97, 1 Zr 2.10
O (0.9429, 0.3270, 0.3270)  2 Pt 2.01
O (0.9287, 0.3348, 0.9287)  1 Pt 1.97, 1 Zr 2.10
O (0.3270, 0.9429, 0.3270)  2 Pt 2.01
O (0.6730, 0.6730, 0.0571)  2 Pt 2.01
O (0.0713, 0.0713, 0.6652)  1 Pt 1.97, 1 Zr 2.10
O (0.6652, 0.0713, 0.0713)  1 Pt 1.97, 1 Zr 2.10
O (0.0571, 0.6730, 0.6730)  2 Pt 2.01
O (0.0713, 0.6652, 0.0713)  1 Pt 1.97, 1 Zr 2.10
O (0.6730, 0.0571, 0.6730)  2 Pt 2.01

Calculated values
* total energy: -6.137 eV per atom
* density of states at the Fermi level: 15.377 states/eV/cell
* uncorrected formation energy: -90 kJ/mol of atoms